(1)
VASP calculation (GGA-PBE) on an optimized crystal structure of Cs2Tl6HgPb.

Calculated formation energy (eV/f.u.): -0.28
Calculated total energy (eV per atom): -2.020

Cell: 8.4211 8.4211 42.0449 Å, 90.00 90.00 120.00°
Space group R-3m (No. 166, hexagonal axes)
Symmetry-distinct sites (fractional):
Cs 0.0000 0.0000 0.1527 (multiplicity 6)
Cs 0.0000 0.0000 0.2910 (multiplicity 6)
Tl 0.0465 0.5233 0.1111 (multiplicity 18)
Tl 0.0801 0.5400 0.7324 (multiplicity 18)
Hg 0.0000 0.0000 0.0000 (multiplicity 3)
Hg 0.0000 0.0000 0.5000 (multiplicity 3)
Pb 0.0000 0.0000 0.3811 (multiplicity 6)

=====

(2)
VASP calculation (GGA-PBE) on an optimized crystal structure of CsTl2Hg4Pb.

Calculated formation energy (eV/f.u.): -0.91
Calculated total energy (eV per atom): -1.426

Cell: 5.3079 5.3079 34.4008 Å, 90.00 90.00 120.00°
Space group R-3m (No. 166, hexagonal axes)
Symmetry-distinct sites (fractional):
Cs 0.0000 0.0000 0.0000 (multiplicity 3)
Tl 0.0000 0.0000 0.2309 (multiplicity 6)
Hg 0.0000 0.0000 0.1317 (multiplicity 6)
Hg 0.0000 0.0000 0.4000 (multiplicity 6)
Pb 0.0000 0.0000 0.5000 (multiplicity 3)

=====

(3)
VASP calculation (GGA-PBE) on an optimized crystal structure of Cs2Tl3HgPb4.

Calculated formation energy (eV/f.u.): -0.75
Calculated total energy (eV per atom): -2.469

Cell: 5.4449 5.4449 12.7668 Å, 90.00 90.00 90.00°
Space group P-4m2 (No. 115)
Symmetry-distinct sites (fractional):
Cs 0.0000 0.5000 0.2435 (multiplicity 2)
Tl 0.0000 0.0000 0.0000 (multiplicity 1)
Tl 0.0000 0.5000 0.6352 (multiplicity 2)
Hg 0.5000 0.5000 0.0000 (multiplicity 1)
Pb 0.0000 0.0000 0.5000 (multiplicity 1)
Pb 0.0000 0.5000 0.8781 (multiplicity 2)
Pb 0.5000 0.5000 0.5000 (multiplicity 1)

=====

(4)
VASP calculation (GGA-PBE) on an optimized crystal structure of Cs2Tl2HgPb.

Calculated formation energy (eV/f.u.): -0.87
Calculated total energy (eV per atom): -1.887

Cell: 7.5849 18.2953 7.4596 Å, 90.00 90.00 90.00°
Space group Ibam (No. 72)
Symmetry-distinct sites (fractional):
Cs 0.2481 0.1645 0.0000 (multiplicity 8)
Tl 0.2431 0.4013 0.0000 (multiplicity 8)
Hg 0.0000 0.5000 0.2500 (multiplicity 4)
Pb 0.0000 0.0000 0.2500 (multiplicity 4)